The following is a DFT calculation (GGA-PBE) of a geometry-optimized SrAc2HfN4 structure.

a = 7.289 Å, b = 7.317 Å, c = 10.580 Å
α = 90.00°, β = 90.00°, γ = 90.00°
Space group Imma (No. 74)
Inequivalent atoms, fractional coordinates:
Sr (0.000, 0.000, 0.000)
Ac (0.000, 0.000, 0.500)
Ac (0.250, 0.250, 0.250)
Hf (0.250, 0.250, 0.750)
N (0.000, 0.023, 0.750)
N (0.245, 0.250, 0.541)

Results
raw total energy = -7.663 eV/atom